An optimized crystal structure of HoTh5Pt6, computed with GGA-PBE.

Properties
* V: 308.8 Å³ per cell
* E_tot: -7.70 eV per atom
* ΔE_f: -14.46 eV per formula unit
* SG: C2/m
* magnetic moment: 0.00 μB/cell

Cell lengths 7.1410, 7.1410, 7.3503 Å; angles 99.23, 99.23, 119.62 degrees
Element x y z (fractional)
Ho1 0.0000 0.0000 0.0000
Th1 0.1683 0.8317 0.5000
Th2 0.3332 0.6668 0.0000
Th3 0.5000 0.5000 0.5000
Th4 0.6668 0.3332 0.0000
Th5 0.8317 0.1683 0.5000
Pt1 0.0838 0.4152 0.2499
Pt2 0.2483 0.2483 0.7498
Pt3 0.4152 0.0838 0.2499
Pt4 0.5848 0.9162 0.7501
Pt5 0.7517 0.7517 0.2502
Pt6 0.9162 0.5848 0.7501